No. 1
Te3Pt: optimized geometry, PBE-GGA.

The structure belongs to space group P4/mmm (No. 123); the cell edges are 3.2033, 3.2033 and 10.1889 Å and the angles 90.00°, 90.00° and 90.00°. The inequivalent atoms are Te at (0.0000, 0.0000, 0.0000), Te at (0.5000, 0.5000, 0.3139) and Pt at (0.0000, 0.0000, 0.5000).

The calculation puts the formation energy (no corrections) at 76 kJ/mol of formula units.

No. 2
BiRhSe2: optimized geometry, PBE-GGA.

The structure belongs to space group C2/c (No. 15); the cell edges are 12.4316, 11.9434 and 12.1991 Å and the angles 90.00°, 114.80° and 90.00°. The inequivalent atoms are Bi at (0.0903, 0.2287, 0.1728), Bi at (0.2106, 0.0348, 0.8071), Rh at (0.1298, 0.4869, 0.4548), Rh at (0.1727, 0.2407, 0.6995), Se at (0.0000, 0.1612, 0.7500), Se at (0.0000, 0.4173, 0.2500), Se at (0.0158, 0.3679, 0.5384), Se at (0.2119, 0.1626, 0.5319) and Se at (0.2337, 0.3973, 0.8613).

The calculation puts the formation energy (no corrections) at -79 kJ/mol of formula units.

No. 3
Dy4AsPS2: optimized geometry, PBE-GGA.

The structure belongs to space group P2/m (No. 10); the cell edges are 6.8928, 3.9961 and 6.9302 Å and the angles 90.00°, 109.63° and 90.00°. The inequivalent atoms are Dy at (0.2447, 0.0000, 0.2428), Dy at (0.2487, 0.5000, 0.7554), As at (0.0000, 0.0000, 0.5000), P at (0.0000, 0.5000, 0.0000), S at (0.5000, 0.0000, 0.0000) and S at (0.5000, 0.5000, 0.5000).

The calculation puts the formation energy (no corrections) at -1411 kJ/mol of formula units.

No. 4
Sr2YCd: optimized geometry, PBE-GGA.

The structure belongs to space group C2/m (No. 12); the cell edges are 7.5402, 10.2177 and 3.8840 Å and the angles 90.00°, 90.11° and 90.00°. The inequivalent atoms are Sr at (0.2500, 0.2500, 0.0000), Y at (0.0000, 0.0000, 0.5000) and Cd at (0.0000, 0.5000, 0.5000).

As for the calculated formation energy: 0.270 eV per formula unit.